1.
Material: CdIn2Ga3
Method: DFT, PBE-GGA
State: optimized geometry

The structure in extended XYZ format:
```
12
Lattice="-2.2600 2.0047 4.6725 -6.5625 1.2746 -3.7210 1.1421 -6.8677 3.4990" Properties=species:S:1:pos:R:3 pbc="T T T"
In -2.0589 -2.8348 5.1897
Ga -1.8297 -1.0355 2.8722
Ga -5.8507 -2.5529 1.5783
Cd -1.6518 0.7123 0.5519
In -5.6214 -0.7535 -0.7392
In -3.0394 -3.4273 1.6568
In -4.6410 -0.1610 2.7936
Ga -0.6997 -2.0378 0.5359
Ga -4.4113 1.6397 0.4757
Ga -3.2813 0.6373 -1.8605
Ga -4.7207 -3.5552 -0.7579
Cd -7.1708 2.5671 0.3996
```

Values from the calculation:
V = 24.081 A^3/atom
distance to the lowest polymorph of the same formula = 2.0 kJ per mole of atoms
ρ = 6.3 g cm⁻³
symmetry = Cmcm, No. 63
E = -2.5141 eV/atom
DFT formation energy = 65 meV per atom



2.
Material: Pm3Te
Method: DFT, PBE-GGA
State: optimized geometry

The structure in extended XYZ format:
```
4
Lattice="-3.7447 0.4264 1.0220 -1.0751 -0.6929 -3.6500 -0.5321 -9.2646 1.9156" Properties=species:S:1:pos:R:3 pbc="T T T"
Pm -2.4890 -1.5110 -1.0291
Pm -0.7878 -4.7035 -0.9241
Pm -2.2575 -6.4930 1.8976
Te -0.5271 -9.1765 1.8974
```

Values from the calculation:
V = 35.777 A^3/atom
distance to the lowest polymorph of the same formula = 28.2 kJ per mole of atoms
ρ = 6.5 g cm⁻³
formation energy from raw total energies = -9.3 kcal/mol of atoms
symmetry = Pmm2, No. 25
E = -4.7524 eV/atom



3.
Material: CaMgS2N
Method: DFT, PBE-GGA
State: optimized geometry

The structure in extended XYZ format:
```
5
Lattice="-3.6562 2.2482 2.4314 -3.2394 -3.1799 -1.9308 0.5724 -2.5212 3.1919" Properties=species:S:1:pos:R:3 pbc="T T T"
Ca -3.1616 -1.7264 1.8462
S -1.6197 -1.5900 -0.9654
S -1.8281 1.1241 1.2157
Mg 0.0000 0.0000 0.0000
N 0.2862 -1.2606 1.5959
```

Values from the calculation:
V = 19.990 A^3/atom
distance to the lowest polymorph of the same formula = 0.0 kJ per mole of atoms
ρ = 2.4 g cm⁻³
formation energy from raw total energies = -6.7 kcal/mol of atoms
symmetry = P4/mmm, No. 123
E = -4.3274 eV/atom



4.
Material: ZrScH2
Method: DFT, PBE-GGA
State: optimized geometry

The structure in extended XYZ format:
```
4
Lattice="0.0000 2.8884 2.8884 2.8884 0.0000 2.8884 2.8884 2.8884 0.0000" Properties=species:S:1:pos:R:3 pbc="T T T"
H 1.4442 1.4442 1.4442
Zr 2.8884 2.8884 2.8884
H 4.3325 4.3325 4.3325
Sc 0.0000 0.0000 0.0000
```

Values from the calculation:
V = 12.048 A^3/atom
distance to the lowest polymorph of the same formula = 60.9 kJ per mole of atoms
ρ = 4.8 g cm⁻³
symmetry = Fm-3m, No. 225
E = -5.1520 eV/atom



5.
Material: SmTlTe4
Method: DFT, PBE-GGA
State: optimized geometry

The structure in extended XYZ format:
```
12
Lattice="-6.6433 1.5060 1.0267 -1.5012 -6.7217 0.1458 1.3180 -0.1060 8.6840" Properties=species:S:1:pos:R:3 pbc="T T T"
Sm -4.0723 -2.6078 0.5863
Te -2.6060 -5.2935 7.2939
Te -5.6135 -3.1340 7.7768
Te -0.4652 -2.2478 7.0062
Te -5.2852 -4.7955 2.6660
Te -5.9248 -1.1196 2.8079
Tl -3.4132 -2.6608 4.9282
Te -3.4727 -0.0883 7.4890
Sm 0.0000 0.0000 0.0000
Tl 0.6590 -0.0530 4.3420
Te -2.2890 -0.4660 2.2641
Te -1.6494 -4.1420 2.1221
```

Values from the calculation:
V = 34.738 A^3/atom
ρ = 6.9 g cm⁻³
formation energy from raw total energies = -16.5 kcal/mol of atoms
symmetry = P4/nbm, No. 125
E = -3.9903 eV/atom



6.
Material: Al5GaFe4
Method: DFT, PBE-GGA
State: optimized geometry

The structure in extended XYZ format:
```
10
Lattice="2.9509 0.0000 0.0000 0.0000 2.9509 0.0000 0.0000 0.0000 14.4782" Properties=species:S:1:pos:R:3 pbc="T T T"
Fe 0.0000 0.0000 8.6154
Al 1.4755 1.4755 10.0284
Al 1.4755 1.4755 4.4498
Al 1.4755 1.4755 1.7838
Al 1.4755 1.4755 12.6943
Ga 0.0000 0.0000 0.0000
Fe 0.0000 0.0000 5.8627
Fe 0.0000 0.0000 2.9867
Al 1.4755 1.4755 7.2391
Fe 0.0000 0.0000 11.4914
```

Values from the calculation:
V = 12.607 A^3/atom
ρ = 5.6 g cm⁻³
symmetry = P4/mmm, No. 123
E = -5.8130 eV/atom
DFT formation energy = -254 meV per atom